ZrW5: optimized geometry, GGA-PBE.

Summary:
Its crystal system is hexagonal. As for the volume: 18.7 Å³/atom. For the energy above the most stable polymorph in this dataset, the calculation gives 256 meV/atom. The energy of formation from the pure elements is 0.28 eV/atom.

Geometry as POSCAR:
```
ZrW5
1.0
2.030 2.559 -4.269
-4.916 -2.159 -0.248
-1.763 3.847 1.468
Zr W
1 5
direct
0.000 0.000 0.000
0.500 0.000 0.500
0.500 0.500 0.500
0.667 0.333 0.000
0.000 0.500 0.500
0.333 0.667 0.000
```